Here is an optimized crystal structure of LiZrB from OQMD. Energies are from PBE.

## Properties
Offset from the most stable computed form = 49.22 kJ per mole of atoms
E_tot = -0.38857 Ry per atom

abc: 3.824 3.824 3.824
angles: 60.00 60.00 60.00
Fractional positions:
Li (0.000, 0.000, 0.000)
Zr (0.250, 0.250, 0.250)
B (0.750, 0.750, 0.750)

Here is an optimized crystal structure of LuB2 from OQMD. Energies are from PBE.

## Properties
Offset from the most stable computed form = 340.82 kJ per mole of atoms
E_tot = -0.22907 Ry per atom

abc: 8.124 8.124 8.124
angles: 60.00 60.00 60.00
Fractional positions:
Lu (0.125, 0.125, 0.125)
Lu (0.875, 0.875, 0.875)
B (0.000, 0.000, 0.000)
B (0.000, 0.000, 0.500)
B (0.000, 0.500, 0.000)
B (0.500, 0.000, 0.000)

Here is an optimized crystal structure of Lu5B from OQMD. Energies are from PBE.

## Properties
E_tot = -0.26780 Ry per atom

abc: 6.075 6.075 5.758
angles: 90.00 90.00 120.00
Fractional positions:
Lu (0.000, 0.500, 0.000)
Lu (0.333, 0.667, 0.500)
Lu (0.500, 0.000, 0.000)
Lu (0.500, 0.500, 0.000)
Lu (0.667, 0.333, 0.500)
B (0.000, 0.000, 0.500)

Here is an optimized crystal structure of LuMg2B from OQMD. Energies are from PBE.

## Properties
E_tot = -0.23071 Ry per atom

abc: 4.659 4.659 4.659
angles: 60.00 60.00 60.00
Fractional positions:
Lu (0.000, 0.000, 0.000)
Mg (0.250, 0.250, 0.250)
Mg (0.500, 0.500, 0.500)
B (0.750, 0.750, 0.750)

Here is an optimized crystal structure of LuMgB from OQMD. Energies are from PBE.

## Properties
Offset from the most stable computed form = 0.00 kJ per mole of atoms
E_tot = -0.31720 Ry per atom

abc: 4.233 4.233 4.233
angles: 60.00 60.00 60.00
Fractional positions:
Lu (0.000, 0.000, 0.000)
Mg (0.500, 0.500, 0.500)
B (0.250, 0.250, 0.250)

Here is an optimized crystal structure of LuMgNiB from OQMD. Energies are from PBE.

## Properties
Offset from the most stable computed form = 18.94 kJ per mole of atoms
E_tot = -0.31890 Ry per atom

abc: 4.309 4.309 4.309
angles: 60.00 60.00 60.00
Fractional positions:
Lu (0.000, 0.000, 0.000)
Mg (0.250, 0.250, 0.250)
Ni (0.500, 0.500, 0.500)
B (0.750, 0.750, 0.750)

Here is an optimized crystal structure of LuMgNiB from OQMD. Energies are from PBE.

## Properties
Offset from the most stable computed form = 26.54 kJ per mole of atoms
E_tot = -0.31311 Ry per atom

abc: 4.290 4.290 4.290
angles: 60.00 60.00 60.00
Fractional positions:
Lu (0.000, 0.000, 0.000)
Mg (0.250, 0.250, 0.250)
Ni (0.750, 0.750, 0.750)
B (0.500, 0.500, 0.500)

Here is an optimized crystal structure of LuMgNiB from OQMD. Energies are from PBE.

## Properties
Offset from the most stable computed form = 0.00 kJ per mole of atoms
E_tot = -0.33333 Ry per atom

abc: 4.387 4.387 4.387
angles: 60.00 60.00 60.00
Fractional positions:
Lu (0.000, 0.000, 0.000)
Mg (0.500, 0.500, 0.500)
Ni (0.250, 0.250, 0.250)
B (0.750, 0.750, 0.750)